# Li3TlSb (PBE, relaxed)
# size of the total moment: 0.00 μB/f.u.
# raw formation energy: -419 meV/atom
data_Li3TlSb
_symmetry_space_group_name_H-M 'P 1 21/m 1'
_symmetry_Int_Tables_number 11
_cell_length_a 6.7138
_cell_length_b 4.5538
_cell_length_c 7.4666
_cell_angle_alpha 90.00
_cell_angle_beta 108.36
_cell_angle_gamma 90.00
loop_
_symmetry_equiv_pos_as_xyz
'x,y,z'
'-x,-y,-z'
'-x,y+1/2,-z'
'x,-y+1/2,z'
loop_
_atom_site_label
_atom_site_fract_x
_atom_site_fract_y
_atom_site_fract_z
Li1 0.0670 0.2500 0.0999
Li2 0.3566 0.2500 0.4506
Li3 0.4187 0.7500 0.8460
Tl1 0.0701 0.2500 0.6668
Sb1 0.3287 0.7500 0.1984

# Y2TmTh (PBE, relaxed)
# size of the total moment: 0.00 μB/f.u.
# DFT formation energy: 59 kJ/mol of formula units
data_Y2TmTh
_symmetry_space_group_name_H-M 'F m -3 m'
_symmetry_Int_Tables_number 225
_symmetry_space_group_name_Hall '-F 4 2 3'
_cell_length_a 8.0112
_cell_length_b 8.0112
_cell_length_c 8.0112
_cell_angle_alpha 90.00
_cell_angle_beta 90.00
_cell_angle_gamma 90.00
loop_
_atom_site_label
_atom_site_fract_x
_atom_site_fract_y
_atom_site_fract_z
Y1 0.2500 0.2500 0.2500
Tm1 0.0000 0.0000 0.0000
Th1 0.0000 0.0000 0.5000

# CsPmTe2 (PBE, relaxed)
# size of the total moment: 0.00 μB/f.u.
# raw formation energy: -1412 meV/atom
data_CsPmTe2
_symmetry_space_group_name_H-M 'R -3 m'
_symmetry_Int_Tables_number 166
_symmetry_space_group_name_Hall '-R 3 2"'
_cell_length_a 4.6510
_cell_length_b 4.6510
_cell_length_c 26.8302
_cell_angle_alpha 90.00
_cell_angle_beta 90.00
_cell_angle_gamma 120.00
loop_
_atom_site_label
_atom_site_fract_x
_atom_site_fract_y
_atom_site_fract_z
Cs1 0.0000 0.0000 0.0000
Pm1 0.0000 0.0000 0.5000
Te1 0.0000 0.0000 0.2313

# NdTmGeS (PBE, relaxed)
# size of the total moment: 0.00 μB/f.u.
# raw formation energy: -1418 meV/atom
data_NdTmGeS
_symmetry_space_group_name_H-M 'R 3 m'
_symmetry_Int_Tables_number 160
_symmetry_space_group_name_Hall 'R 3 -2"'
_cell_length_a 4.0920
_cell_length_b 4.0920
_cell_length_c 20.1432
_cell_angle_alpha 90.00
_cell_angle_beta 90.00
_cell_angle_gamma 120.00
loop_
_atom_site_label
_atom_site_fract_x
_atom_site_fract_y
_atom_site_fract_z
Nd1 0.0000 0.0000 0.0000
Tm1 0.0000 0.0000 0.5000
Ge1 0.0000 0.0000 0.2461
S1 0.0000 0.0000 0.7552

# MgAg3N (PBE, relaxed)
# size of the total moment: 0.00 μB/f.u.
# raw formation energy: 1753 meV/atom
data_MgAg3N
_symmetry_space_group_name_H-M 'P m -3 m'
_symmetry_Int_Tables_number 221
_symmetry_space_group_name_Hall '-P 4 2 3'
_cell_length_a 4.8457
_cell_length_b 4.8457
_cell_length_c 4.8457
_cell_angle_alpha 90.00
_cell_angle_beta 90.00
_cell_angle_gamma 90.00
loop_
_atom_site_label
_atom_site_fract_x
_atom_site_fract_y
_atom_site_fract_z
Mg1 0.0000 0.0000 0.0000
Ag1 0.0000 0.0000 0.5000
N1 0.5000 0.5000 0.5000

# La6AsIr2Cl3 (PBE, relaxed)
# size of the total moment: 0.00 μB/f.u.
# raw formation energy: -1403 meV/atom
data_La6AsIr2Cl3
_symmetry_space_group_name_H-M 'C 1 2/m 1'
_symmetry_Int_Tables_number 12
_cell_length_a 7.3990
_cell_length_b 12.8009
_cell_length_c 7.8168
_cell_angle_alpha 90.00
_cell_angle_beta 108.31
_cell_angle_gamma 90.00
loop_
_symmetry_equiv_pos_as_xyz
'x,y,z'
'-x,-y,-z'
'-x,y,-z'
'x,-y,z'
'x+1/2,y+1/2,z'
'-x+1/2,-y+1/2,-z'
'-x+1/2,y+1/2,-z'
'x+1/2,-y+1/2,z'
loop_
_atom_site_label
_atom_site_fract_x
_atom_site_fract_y
_atom_site_fract_z
La1 0.2210 0.0000 0.2120
La2 0.2459 0.3252 0.2122
As1 0.0000 0.5000 0.0000
Ir1 0.0000 0.1671 0.0000
Cl1 0.0000 0.0000 0.5000
Cl2 0.0000 0.3395 0.5000

# Y4GaFe2 (PBE, relaxed)
# size of the total moment: 2.65 μB/f.u.
# DFT formation energy: 223 kJ/mol of formula units
data_Y4GaFe2
_symmetry_space_group_name_H-M 'I 4/m m m'
_symmetry_Int_Tables_number 139
_symmetry_space_group_name_Hall '-I 4 2'
_cell_length_a 5.5250
_cell_length_b 5.5250
_cell_length_c 12.9682
_cell_angle_alpha 90.00
_cell_angle_beta 90.00
_cell_angle_gamma 90.00
loop_
_atom_site_label
_atom_site_fract_x
_atom_site_fract_y
_atom_site_fract_z
Y1 0.0000 0.0000 0.2153
Y2 0.0000 0.5000 0.0000
Ga1 0.0000 0.0000 0.0000
Fe1 0.0000 0.0000 0.4176

# KSrP3 (PBE, relaxed)
# size of the total moment: 0.00 μB/f.u.
# DFT formation energy: 456 kJ/mol of formula units
data_KSrP3
_symmetry_space_group_name_H-M 'P m -3 m'
_symmetry_Int_Tables_number 221
_symmetry_space_group_name_Hall '-P 4 2 3'
_cell_length_a 5.2753
_cell_length_b 5.2753
_cell_length_c 5.2753
_cell_angle_alpha 90.00
_cell_angle_beta 90.00
_cell_angle_gamma 90.00
loop_
_atom_site_label
_atom_site_fract_x
_atom_site_fract_y
_atom_site_fract_z
K1 0.0000 0.0000 0.0000
Sr1 0.5000 0.5000 0.5000
P1 0.0000 0.0000 0.5000

Number 1: final energy -28.65 eV/cell. Number 2: final energy -96.82 eV/cell. Number 3: final energy -52.61 eV/cell. Number 4: final energy -70.97 eV/cell. Number 5: final energy -9.71 eV/cell. Number 6: final energy -148.63 eV/cell. Number 7: final energy -86.99 eV/cell. Number 8: final energy -14.28 eV/cell.